# LiCdP2

An optimized crystal structure of LiCdP2 (PBE, the Alexandria database).

Lattice parameters (Å, degrees): 4.887 4.887 4.887 130.61 127.30 75.11
Atoms (fractional coordinates):
Li1 0.250 0.750 0.500
P1 0.001 0.001 0.000
P2 0.499 0.499 0.000
Cd1 0.750 0.250 0.500

ΔE_f: 0.11 eV/atom
Size of the total moment: 0.00 μB/atom
E_tot: -3.307 eV per atom

=====

# LiCdP2

An optimized crystal structure of LiCdP2 (PBE, the Alexandria database).

Lattice parameters (Å, degrees): 3.855 4.202 4.202 90.00 90.00 90.00
Atoms (fractional coordinates):
P1 0.000 0.000 0.000
P2 0.000 0.500 0.500
Li1 0.500 0.000 0.500
Cd1 0.500 0.500 0.000

ΔE_f: 0.08 eV/atom
Size of the total moment: 0.00 μB/atom
E_tot: -3.334 eV per atom

=====

# LiCd2P

An optimized crystal structure of LiCd2P (PBE, the Alexandria database).

Lattice parameters (Å, degrees): 3.961 3.112 6.403 76.69 90.00 90.00
Atoms (fractional coordinates):
P1 0.500 0.970 0.682
Cd1 0.500 0.187 0.258
Cd2 0.000 0.820 0.987
Li1 0.000 0.523 0.574

ΔE_f: -0.14 eV/atom
Size of the total moment: 0.00 μB/atom
E_tot: -2.425 eV per atom

=====

# LiCdP2

An optimized crystal structure of LiCdP2 (PBE, the Alexandria database).

Lattice parameters (Å, degrees): 3.773 3.609 5.791 69.61 90.00 90.00
Atoms (fractional coordinates):
P1 0.000 0.114 0.944
P2 0.000 0.386 0.556
Cd1 0.500 0.250 0.250
Li1 0.500 0.750 0.750

ΔE_f: -0.10 eV/atom
Size of the total moment: 0.00 μB/atom
E_tot: -3.513 eV per atom

=====

# Li2Cd2P

An optimized crystal structure of Li2Cd2P (PBE, the Alexandria database).

Lattice parameters (Å, degrees): 3.673 3.673 7.685 76.18 76.18 90.00
Atoms (fractional coordinates):
P1 0.000 0.000 0.000
Li1 0.750 0.250 0.500
Li2 0.250 0.750 0.500
Cd1 0.398 0.398 0.204
Cd2 0.602 0.602 0.796

Offset from the most stable computed form: 243 meV/atom
ΔE_f: 0.10 eV/atom
Size of the total moment: 0.00 μB/atom
E_tot: -2.117 eV per atom

=====

# LiCd2P

An optimized crystal structure of LiCd2P (PBE, the Alexandria database).

Lattice parameters (Å, degrees): 5.267 5.267 5.267 133.44 133.68 67.78
Atoms (fractional coordinates):
Cd1 0.999 0.999 0.000
Cd2 0.750 0.250 0.500
Li1 0.501 0.501 0.000
P1 0.249 0.749 0.500

ΔE_f: -0.05 eV/atom
Size of the total moment: 0.00 μB/atom
E_tot: -2.337 eV per atom

=====

# Li2Cd2P

An optimized crystal structure of Li2Cd2P (PBE, the Alexandria database).

Lattice parameters (Å, degrees): 6.326 6.326 4.541 90.00 90.00 90.00
Atoms (fractional coordinates):
Cd1 0.164 0.664 0.500
Cd2 0.836 0.336 0.500
Cd3 0.336 0.164 0.500
Cd4 0.664 0.836 0.500
P1 0.500 0.500 0.000
P2 0.000 0.000 0.000
Li1 0.652 0.152 0.000
Li2 0.348 0.848 0.000
Li3 0.848 0.652 0.000
Li4 0.152 0.348 0.000

Offset from the most stable computed form: 0 meV/atom
ΔE_f: -0.15 eV/atom
Size of the total moment: 0.00 μB/atom
E_tot: -2.360 eV per atom

=====

# LiCdP2

An optimized crystal structure of LiCdP2 (PBE, the Alexandria database).

Lattice parameters (Å, degrees): 6.382 4.422 3.648 89.81 55.45 119.19
Atoms (fractional coordinates):
Cd1 0.000 0.500 0.500
P1 0.500 0.000 0.500
P2 0.000 0.000 0.000
Li1 0.500 0.500 0.000

ΔE_f: 0.07 eV/atom
Size of the total moment: 0.00 μB/atom
E_tot: -3.344 eV per atom

=====

# LiCdP2

An optimized crystal structure of LiCdP2 (PBE, the Alexandria database).

Lattice parameters (Å, degrees): 5.948 5.948 5.948 147.85 138.66 53.31
Atoms (fractional coordinates):
P1 0.922 0.922 0.000
P2 0.771 0.271 0.500
Cd1 0.545 0.545 0.000
Li1 0.262 0.762 0.500

ΔE_f: -0.12 eV/atom
Size of the total moment: 0.00 μB/atom
E_tot: -3.535 eV per atom

=====

# LiCd2P

An optimized crystal structure of LiCd2P (PBE, the Alexandria database).

Lattice parameters (Å, degrees): 3.696 3.689 5.560 90.00 90.00 90.00
Atoms (fractional coordinates):
Cd1 0.000 0.000 0.000
Cd2 0.000 0.000 0.500
Li1 0.500 0.500 0.250
P1 0.500 0.500 0.750

ΔE_f: -0.08 eV/atom
Size of the total moment: 0.00 μB/atom
E_tot: -2.372 eV per atom